# 1
This record from Alexandria via LeMat-Bulk describes a geometry-optimized Fe2BRh structure. The functional is PBE.

Cell lengths 8.840, 8.840, 8.840 Å; angles 158.57, 158.57, 30.48 degrees
Positions (direct):
Fe: 0.100 0.625 0.975
Fe: 0.375 0.350 0.475
Fe: 0.650 0.125 0.025
Fe: 0.875 0.900 0.525
B: 0.000 0.000 0.000
B: 0.750 0.250 0.500
Rh: 0.250 0.750 0.500
Rh: 0.500 0.500 0.000

Properties
- ΔE_f: 0.45 eV per atom
- Space-group type: I-42d (122)
- Size of the total moment: 1.132 μB/atom

=====

# 2
This record from Alexandria via LeMat-Bulk describes a geometry-optimized B2N structure. The functional is PBE.

Cell lengths 3.554, 3.554, 5.798 Å; angles 96.89, 96.89, 41.41 degrees
Positions (direct):
B: 0.000 0.000 0.000
B: 0.145 0.145 0.466
B: 0.391 0.391 0.365
B: 0.558 0.558 0.639
N: 0.523 0.523 0.883
N: 0.958 0.958 0.245

Properties
- Space-group type: Cm (8)
- Formation energy from raw total energies: -0.41 eV per atom
- Size of the total moment: 0.000 μB/atom
- Polymorph energy (0 for the lowest one): 0.200 eV/atom

=====

# 3
This record from Alexandria via LeMat-Bulk describes a geometry-optimized CdSb2 structure. The functional is PBE.

Cell lengths 5.508, 5.508, 6.350 Å; angles 90.00, 90.00, 120.00 degrees
Positions (direct):
Cd: 0.000 0.000 0.250
Cd: 0.000 0.000 0.750
Sb: 0.333 0.667 0.021
Sb: 0.333 0.667 0.479
Sb: 0.667 0.333 0.521
Sb: 0.667 0.333 0.979

Properties
- Space-group type: P6_3/mmc (194)
- Formation energy from raw total energies: 0.15 eV per atom
- Size of the total moment: 0.000 μB/atom

=====

# 4
This record from Alexandria via LeMat-Bulk describes a geometry-optimized TlCl structure. The functional is PBE.

Cell lengths 5.071, 5.071, 5.071 Å; angles 60.00, 60.00, 60.00 degrees
Positions (direct):
Tl: 0.000 0.000 0.000
Cl: 0.250 0.250 0.250

Properties
- Space-group type: F-43m (216)
- Formation energy from raw total energies: -0.95 eV per atom
- Size of the total moment: 0.000 μB/atom

=====

# 5
This record from Alexandria via LeMat-Bulk describes a geometry-optimized Ba3Li3Mg8 structure. The functional is PBE.

Cell lengths 9.623, 9.623, 9.623 Å; angles 147.66, 112.03, 77.30 degrees
Positions (direct):
Ba: 0.000 0.000 0.000
Ba: 0.300 0.300 0.000
Ba: 0.700 0.700 0.000
Li: 0.298 0.500 0.798
Li: 0.500 0.000 0.500
Li: 0.702 0.500 0.202
Mg: 0.022 0.674 0.348
Mg: 0.171 0.881 0.290
Mg: 0.326 0.674 0.652
Mg: 0.408 0.119 0.290
Mg: 0.592 0.881 0.710
Mg: 0.674 0.326 0.348
Mg: 0.829 0.119 0.710
Mg: 0.978 0.326 0.652

Properties
- ΔE_f: -0.01 eV per atom
- Space-group type: Immm (71)
- Size of the total moment: 0.000 μB/atom

=====

# 6
This record from Alexandria via LeMat-Bulk describes a geometry-optimized LiAl2Cu6 structure. The functional is PBE.

Cell lengths 4.902, 4.902, 7.596 Å; angles 121.90, 121.90, 49.80 degrees
Positions (direct):
Li: 0.000 0.000 0.000
Al: 0.325 0.325 0.444
Al: 0.675 0.675 0.556
Cu: 0.006 0.006 0.671
Cu: 0.333 0.333 0.115
Cu: 0.337 0.337 0.787
Cu: 0.663 0.663 0.213
Cu: 0.667 0.667 0.885
Cu: 0.994 0.994 0.329

Properties
- ΔE_f: -0.14 eV per atom
- Space-group type: C2/m (12)
- Size of the total moment: 0.000 μB/atom
- Polymorph energy (0 for the lowest one): 0.000 eV/atom

=====

# 7
This record from Alexandria via LeMat-Bulk describes a geometry-optimized PtNCl3 structure. The functional is PBE.

Cell lengths 4.401, 4.401, 4.401 Å; angles 90.00, 90.00, 90.00 degrees
Positions (direct):
Pt: 0.000 0.000 0.000
N: 0.500 0.500 0.500
Cl: 0.000 0.500 0.500
Cl: 0.500 0.000 0.500
Cl: 0.500 0.500 0.000

Properties
- Space-group type: Pm-3m (221)
- Formation energy from raw total energies: 1.46 eV per atom
- Size of the total moment: 0.238 μB/atom
- Polymorph energy (0 for the lowest one): 0.078 eV/atom

=====

# 8
This record from Alexandria via LeMat-Bulk describes a geometry-optimized PmY2S4 structure. The functional is PBE.

Cell lengths 12.042, 3.879, 14.086 Å; angles 90.00, 90.00, 90.00 degrees
Positions (direct):
Pm: 0.248 0.250 0.168
Pm: 0.252 0.750 0.668
Pm: 0.748 0.250 0.332
Pm: 0.752 0.750 0.832
Y: 0.063 0.750 0.887
Y: 0.095 0.750 0.406
Y: 0.405 0.250 0.906
Y: 0.437 0.250 0.387
Y: 0.563 0.750 0.613
Y: 0.595 0.750 0.094
Y: 0.905 0.250 0.594
Y: 0.937 0.250 0.113
S: 0.044 0.250 0.283
S: 0.097 0.750 0.078
S: 0.130 0.250 0.543
S: 0.200 0.250 0.814
S: 0.300 0.750 0.314
S: 0.370 0.750 0.043
S: 0.403 0.250 0.578
S: 0.456 0.750 0.783
S: 0.544 0.250 0.217
S: 0.597 0.750 0.422
S: 0.630 0.250 0.957
S: 0.700 0.250 0.686
S: 0.800 0.750 0.186
S: 0.870 0.750 0.457
S: 0.903 0.250 0.922
S: 0.956 0.750 0.717

Properties
- Space-group type: Pnma (62)
- Formation energy from raw total energies: -2.05 eV per atom
- Size of the total moment: 0.000 μB/atom
- Polymorph energy (0 for the lowest one): 0.022 eV/atom